## Pr2GdMg3AgPd2 (PBE)

Data for an optimized crystal structure of Pr2GdMg3AgPd2.

Unit cell a=4.1383 b=7.6724 c=7.6724 alpha=119.92 beta=90.00 gamma=90.00
With the nearest neighbours (Å) after each atom.
Sites, in units of the cell vectors:
Pr 0.0000 0.2098 0.7902  4 Pd 3.12, 1 Ag 3.24, 4 Mg 3.29-3.48
Pr 0.0000 0.7902 0.2098  4 Pd 3.12, 1 Ag 3.24, 4 Mg 3.29-3.48
Gd 0.0000 0.6280 0.6280  4 Pd 3.05, 1 Ag 3.18, 2 Mg 3.29
Mg 0.5000 0.2126 0.4577  2 Ag 2.79, 2 Pd 2.91-3.02
Mg 0.5000 0.4577 0.2126  2 Ag 2.79, 2 Pd 2.91-3.02
Mg 0.5000 0.9608 0.9608  2 Ag 2.84, 2 Pd 2.90
Ag 0.0000 0.2144 0.2144  6 Mg 2.79-2.84
Pd 0.5000 0.5453 0.8697  3 Mg 2.90-3.02, 2 Gd 3.05, 4 Pr 3.12
Pd 0.5000 0.8697 0.5453  3 Mg 2.90-3.02, 2 Gd 3.05, 4 Pr 3.12

Results
VASP energy ... -4.089 eV per atom
M_tot ... 0.01 μB/cell